Here is a PBEsol-optimized structure of Sc2Cr from Alexandria via LeMat-Bulk. Energies are from SCAN.

Calculated values
* formation enthalpy at 0 K: 0.22 eV/f.u.
* calculated volume: 230.7 Å³/cell

Lattice parameters (Å, degrees): 3.252 14.810 4.790 90.00 90.00 90.00
Space group Cmcm (No. 63)
Unique sites:
Sc 0.000 0.080 0.250 (multiplicity 4)
Sc 0.000 0.222 0.750 (multiplicity 4)
Cr 0.000 0.430 0.250 (multiplicity 4)

=====

Here is a PBEsol-optimized structure of ScCr from Alexandria via LeMat-Bulk. Energies are from SCAN.

Calculated values
* formation enthalpy at 0 K: 1.26 eV/f.u.
* calculated volume: 162.1 Å³/cell

Lattice parameters (Å, degrees): 5.453 5.453 5.453 90.00 90.00 90.00
Space group Fm-3m (No. 225)
Unique sites:
Sc 0.000 0.000 0.000 (multiplicity 4)
Cr 0.000 0.000 0.500 (multiplicity 4)